[1]
This record from the Alexandria database describes RbTl2GaBr after structural relaxation. The functional is PBE-GGA.

CIF file:
```
data_RbTl2GaBr
_cell_length_a 6.6624
_cell_length_b 6.6624
_cell_length_c 6.0098
_cell_angle_alpha 90.00
_cell_angle_beta 90.00
_cell_angle_gamma 90.00
_space_group_name_H-M_alt 'P 4/m m m'
_space_group_IT_number 123
_space_group_name_Hall '-P 4 2'
loop_
_atom_site_label
_atom_site_fract_x
_atom_site_fract_y
_atom_site_fract_z
Rb1 0.0000 0.0000 0.0000
Tl1 0.0000 0.5000 0.0000
Ga1 0.5000 0.5000 0.5000
Br1 0.0000 0.0000 0.5000
```

Computed properties:
- magnetic moment (μB per cell) = 0.0
- formation energy (no corrections) (eV per atom) = 0.321
- ρ (g/cm³) = 4.01

[2]
This record from the Alexandria database describes NaTiH after structural relaxation. The functional is PBE-GGA.

CIF file:
```
data_NaTiH
_cell_length_a 11.4304
_cell_length_b 2.9816
_cell_length_c 5.1656
_cell_angle_alpha 90.00
_cell_angle_beta 90.00
_cell_angle_gamma 90.00
_space_group_name_H-M_alt 'A m m 2'
_space_group_IT_number 38
_space_group_name_Hall 'A 2 -2'
loop_
_atom_site_label
_atom_site_fract_x
_atom_site_fract_y
_atom_site_fract_z
Na1 0.1308 0.0000 0.0000
Ti1 0.3847 0.0000 0.6705
H1 0.0000 0.0000 0.6660
H2 0.5000 0.0000 0.0037
```

Computed properties:
- magnetic moment (μB per cell) = 4.4
- ρ (g/cm³) = 2.71
- raw total energy (Ry per atom) = -0.2948

[3]
This record from the Alexandria database describes PPb2W after structural relaxation. The functional is PBE-GGA.

CIF file:
```
data_PPb2W
_cell_length_a 3.2460
_cell_length_b 3.2460
_cell_length_c 8.5539
_cell_angle_alpha 90.00
_cell_angle_beta 90.00
_cell_angle_gamma 90.00
_space_group_name_H-M_alt 'P 4 m m'
_space_group_IT_number 99
_space_group_name_Hall 'P 4 -2'
loop_
_atom_site_label
_atom_site_fract_x
_atom_site_fract_y
_atom_site_fract_z
P1 0.0000 0.0000 0.0000
Pb1 0.0000 0.0000 0.6257
Pb2 0.5000 0.5000 0.2570
W1 0.5000 0.5000 0.8853
```

Computed properties:
- magnetic moment (μB per cell) = 0.4
- E_form (eV per atom) = 0.17
- ρ (g/cm³) = 11.59

[4]
This record from the Alexandria database describes Ac4SnHIr2 after structural relaxation. The functional is PBE-GGA.

CIF file:
```
data_Ac4SnHIr2
_cell_length_a 4.4309
_cell_length_b 14.4321
_cell_length_c 14.9798
_cell_angle_alpha 90.00
_cell_angle_beta 90.00
_cell_angle_gamma 90.00
_space_group_name_H-M_alt 'C m c m'
_space_group_IT_number 63
_space_group_name_Hall '-C 2c 2'
loop_
_atom_site_label
_atom_site_fract_x
_atom_site_fract_y
_atom_site_fract_z
Ac1 0.0000 0.0000 0.0000
Ac2 0.0000 0.2675 0.1115
Ac3 0.0000 0.4246 0.7500
Sn1 0.0000 0.1104 0.7500
H1 0.0000 0.1623 0.2500
Ir1 0.0000 0.3710 0.5615
```

Computed properties:
- magnetic moment (μB per cell) = 0.0
- ρ (g/cm³) = 9.79
- raw total energy (Ry per atom) = -0.4281

[5]
This record from the Alexandria database describes PuZr4Sc5 after structural relaxation. The functional is PBE-GGA.

CIF file:
```
data_PuZr4Sc5
_cell_length_a 17.8393
_cell_length_b 3.2017
_cell_length_c 9.6603
_cell_angle_alpha 90.00
_cell_angle_beta 116.05
_cell_angle_gamma 90.00
_space_group_name_H-M_alt 'C 1 2/m 1'
_space_group_IT_number 12
_space_group_name_Hall '-C 2y'
loop_
_atom_site_label
_atom_site_fract_x
_atom_site_fract_y
_atom_site_fract_z
Pu1 0.0000 0.0000 0.0000
Zr1 0.0289 0.5000 0.2660
Zr2 0.1754 0.0000 0.5011
Sc1 0.0000 0.0000 0.5000
Sc2 0.1618 0.5000 0.8215
Sc3 0.1757 0.5000 0.1791
```

Computed properties:
- magnetic moment (μB per cell) = 10.6
- E_form (eV per atom) = 0.20
- ρ (g/cm³) = 5.59

[6]
This record from the Alexandria database describes Nd2NpFe2N6 after structural relaxation. The functional is PBE-GGA.

CIF file:
```
data_Nd2NpFe2N6
_cell_length_a 5.7149
_cell_length_b 5.7149
_cell_length_c 16.6604
_cell_angle_alpha 90.00
_cell_angle_beta 90.00
_cell_angle_gamma 120.00
_space_group_name_H-M_alt 'R -3 m'
_space_group_IT_number 166
_space_group_name_Hall '-R 3 2"'
loop_
_atom_site_label
_atom_site_fract_x
_atom_site_fract_y
_atom_site_fract_z
Nd1 0.0000 0.0000 0.2116
Np1 0.0000 0.0000 0.0000
Fe1 0.0000 0.0000 0.4083
N1 0.0155 0.5077 0.7570
```

Computed properties:
- magnetic moment (μB per cell) = 20.8
- formation energy (no corrections) (eV per atom) = -0.618
- ρ (g/cm³) = 7.62

[7]
This record from the Alexandria database describes TbPrGdDy after structural relaxation. The functional is PBE-GGA.

CIF file:
```
data_TbPrGdDy
_cell_length_a 8.1073
_cell_length_b 8.1073
_cell_length_c 8.1073
_cell_angle_alpha 90.00
_cell_angle_beta 90.00
_cell_angle_gamma 90.00
_space_group_name_H-M_alt 'F -4 3 m'
_space_group_IT_number 216
_space_group_name_Hall 'F -4 2 3'
loop_
_atom_site_label
_atom_site_fract_x
_atom_site_fract_y
_atom_site_fract_z
Tb1 0.0000 0.0000 0.0000
Pr1 0.2500 0.2500 0.2500
Gd1 0.2500 0.2500 0.7500
Dy1 0.0000 0.0000 0.5000
```

Computed properties:
- magnetic moment (μB per cell) = 32.3
- E_form (eV per atom) = 0.12
- ρ (g/cm³) = 7.72

[8]
This record from the Alexandria database describes TlZnCuRu2 after structural relaxation. The functional is PBE-GGA.

CIF file:
```
data_TlZnCuRu2
_cell_length_a 4.6162
_cell_length_b 4.6162
_cell_length_c 4.7745
_cell_angle_alpha 90.00
_cell_angle_beta 90.00
_cell_angle_gamma 90.00
_space_group_name_H-M_alt 'P 4/m m m'
_space_group_IT_number 123
_space_group_name_Hall '-P 4 2'
loop_
_atom_site_label
_atom_site_fract_x
_atom_site_fract_y
_atom_site_fract_z
Tl1 0.0000 0.0000 0.0000
Zn1 0.5000 0.5000 0.0000
Cu1 0.0000 0.0000 0.5000
Ru1 0.0000 0.5000 0.5000
```

Computed properties:
- magnetic moment (μB per cell) = 2.7
- E_form (eV per atom) = 1.35
- ρ (g/cm³) = 8.74

[9]
This record from the Alexandria database describes Pm2InO after structural relaxation. The functional is PBE-GGA.

CIF file:
```
data_Pm2InO
_cell_length_a 3.1803
_cell_length_b 3.1803
_cell_length_c 8.1664
_cell_angle_alpha 90.00
_cell_angle_beta 90.00
_cell_angle_gamma 90.00
_space_group_name_H-M_alt 'P 4/m m m'
_space_group_IT_number 123
_space_group_name_Hall '-P 4 2'
loop_
_atom_site_label
_atom_site_fract_x
_atom_site_fract_y
_atom_site_fract_z
Pm1 0.0000 0.0000 0.1938
In1 0.5000 0.5000 0.5000
O1 0.5000 0.5000 0.0000
```

Computed properties:
- energy relative to the lowest polymorph listed for this composition (meV/atom) = 403
- magnetic moment (μB per cell) = 0.0
- formation energy (no corrections) (eV per atom) = -1.189
- ρ (g/cm³) = 8.46

[10]
This record from the Alexandria database describes CaSmYMg after structural relaxation. The functional is PBE-GGA.

CIF file:
```
data_CaSmYMg
_cell_length_a 3.6378
_cell_length_b 3.6378
_cell_length_c 9.7663
_cell_angle_alpha 90.00
_cell_angle_beta 90.00
_cell_angle_gamma 90.00
_space_group_name_H-M_alt 'P 4 m m'
_space_group_IT_number 99
_space_group_name_Hall 'P 4 -2'
loop_
_atom_site_label
_atom_site_fract_x
_atom_site_fract_y
_atom_site_fract_z
Ca1 0.0000 0.0000 0.0000
Sm1 0.5000 0.5000 0.7066
Y1 0.0000 0.0000 0.4567
Mg1 0.5000 0.5000 0.2377
```

Computed properties:
- energy relative to the lowest polymorph listed for this composition (meV/atom) = 0
- magnetic moment (μB per cell) = 0.0
- E_form (eV per atom) = -0.01
- ρ (g/cm³) = 3.90

[11]
This record from the Alexandria database describes ZrBRu3 after structural relaxation. The functional is PBE-GGA.

CIF file:
```
data_ZrBRu3
_cell_length_a 4.8834
_cell_length_b 5.5278
_cell_length_c 5.2110
_cell_angle_alpha 90.00
_cell_angle_beta 94.12
_cell_angle_gamma 90.00
_space_group_name_H-M_alt 'P 1 21/m 1'
_space_group_IT_number 11
_space_group_name_Hall '-P 2yb'
loop_
_atom_site_label
_atom_site_fract_x
_atom_site_fract_y
_atom_site_fract_z
Zr1 0.1398 0.2500 0.1678
B1 0.3422 0.7500 0.0209
Ru1 0.1236 0.7500 0.3549
Ru2 0.3757 0.0140 0.7241
```

Computed properties:
- magnetic moment (μB per cell) = 0.0
- E_form (eV per atom) = -0.32
- ρ (g/cm³) = 9.59

[12]
This record from the Alexandria database describes BeCoP2 after structural relaxation. The functional is PBE-GGA.

CIF file:
```
data_BeCoP2
_cell_length_a 3.3075
_cell_length_b 3.4217
_cell_length_c 3.9994
_cell_angle_alpha 90.00
_cell_angle_beta 90.00
_cell_angle_gamma 90.00
_space_group_name_H-M_alt 'P m m m'
_space_group_IT_number 47
_space_group_name_Hall '-P 2 2'
loop_
_atom_site_label
_atom_site_fract_x
_atom_site_fract_y
_atom_site_fract_z
Be1 0.0000 0.0000 0.0000
Co1 0.0000 0.5000 0.5000
P1 0.5000 0.0000 0.5000
P2 0.5000 0.5000 0.0000
```

Computed properties:
- magnetic moment (μB per cell) = 0.0
- E_form (eV per atom) = 0.21
- ρ (g/cm³) = 4.77

[13]
This record from the Alexandria database describes ZnCoSi after structural relaxation. The functional is PBE-GGA.

CIF file:
```
data_ZnCoSi
_cell_length_a 6.1875
_cell_length_b 8.2744
_cell_length_c 13.3567
_cell_angle_alpha 90.00
_cell_angle_beta 90.00
_cell_angle_gamma 90.00
_space_group_name_H-M_alt 'F d d d'
_space_group_IT_number 70
loop_
_space_group_symop_operation_xyz
'x,y,z'
'-x,-y,-z'
'-x+1/4,-y+1/4,z'
'x+1/4,y+1/4,-z'
'x,-y+1/4,-z+1/4'
'-x,y+1/4,z+1/4'
'-x+1/4,y,-z+1/4'
'x+1/4,-y,z+1/4'
'x,y+1/2,z+1/2'
'-x,-y+1/2,-z+1/2'
'-x+1/4,-y+3/4,z+1/2'
'x+1/4,y+3/4,-z+1/2'
'x,-y+3/4,-z+3/4'
'-x,y+3/4,z+3/4'
'-x+1/4,y+1/2,-z+3/4'
'x+1/4,-y+1/2,z+3/4'
'x+1/2,y,z+1/2'
'-x+1/2,-y,-z+1/2'
'-x+3/4,-y+1/4,z+1/2'
'x+3/4,y+1/4,-z+1/2'
'x+1/2,-y+1/4,-z+3/4'
'-x+1/2,y+1/4,z+3/4'
'-x+3/4,y,-z+3/4'
'x+3/4,-y,z+3/4'
'x+1/2,y+1/2,z'
'-x+1/2,-y+1/2,-z'
'-x+3/4,-y+3/4,z'
'x+3/4,y+3/4,-z'
'x+1/2,-y+3/4,-z+1/4'
'-x+1/2,y+3/4,z+1/4'
'-x+3/4,y+1/2,-z+1/4'
'x+3/4,-y+1/2,z+1/4'
loop_
_atom_site_label
_atom_site_fract_x
_atom_site_fract_y
_atom_site_fract_z
Zn1 0.0000 0.0000 0.0000
Co1 0.1250 0.2927 0.6250
Si1 0.1250 0.1250 0.4887
```

Computed properties:
- energy relative to the lowest polymorph listed for this composition (meV/atom) = 73
- magnetic moment (μB per cell) = 0.0
- formation energy (no corrections) (eV per atom) = -0.093
- ρ (g/cm³) = 5.92

[14]
This record from the Alexandria database describes MgInW2 after structural relaxation. The functional is PBE-GGA.

CIF file:
```
data_MgInW2
_cell_length_a 3.9236
_cell_length_b 3.9236
_cell_length_c 4.5877
_cell_angle_alpha 90.00
_cell_angle_beta 90.00
_cell_angle_gamma 90.00
_space_group_name_H-M_alt 'P 4/m m m'
_space_group_IT_number 123
_space_group_name_Hall '-P 4 2'
loop_
_atom_site_label
_atom_site_fract_x
_atom_site_fract_y
_atom_site_fract_z
Mg1 0.0000 0.0000 0.0000
In1 0.5000 0.5000 0.0000
W1 0.0000 0.5000 0.5000
```

Computed properties:
- energy relative to the lowest polymorph listed for this composition (meV/atom) = 226
- magnetic moment (μB per cell) = 0.0
- E_form (eV per atom) = 0.53
- ρ (g/cm³) = 11.92

[15]
This record from the Alexandria database describes Ca6In3Cu after structural relaxation. The functional is PBE-GGA.

CIF file:
```
data_Ca6In3Cu
_cell_length_a 9.4419
_cell_length_b 5.4147
_cell_length_c 12.3888
_cell_angle_alpha 90.00
_cell_angle_beta 111.41
_cell_angle_gamma 90.00
_space_group_name_H-M_alt 'P 1 21/m 1'
_space_group_IT_number 11
_space_group_name_Hall '-P 2yb'
loop_
_atom_site_label
_atom_site_fract_x
_atom_site_fract_y
_atom_site_fract_z
Ca1 0.0221 0.2500 0.4193
Ca2 0.1787 0.7500 0.1595
Ca3 0.2641 0.2500 0.0016
Ca4 0.3465 0.7500 0.8299
Ca5 0.3660 0.2500 0.3564
Ca6 0.3846 0.2500 0.6490
In1 0.0214 0.7500 0.8679
In2 0.0828 0.2500 0.7232
In3 0.2651 0.7500 0.4729
Cu1 0.4582 0.7500 0.0913
```

Computed properties:
- magnetic moment (μB per cell) = 0.0
- E_form (eV per atom) = -0.30
- ρ (g/cm³) = 3.65

[16]
This record from the Alexandria database describes ReRu2N after structural relaxation. The functional is PBE-GGA.

CIF file:
```
data_ReRu2N
_cell_length_a 5.0556
_cell_length_b 5.0556
_cell_length_c 9.8156
_cell_angle_alpha 90.00
_cell_angle_beta 90.00
_cell_angle_gamma 90.00
_space_group_name_H-M_alt 'I -4 2 d'
_space_group_IT_number 122
_space_group_name_Hall 'I -4 2bw'
loop_
_atom_site_label
_atom_site_fract_x
_atom_site_fract_y
_atom_site_fract_z
Re1 0.0000 0.0000 0.0000
Ru1 0.1743 0.2500 0.6250
N1 0.0000 0.0000 0.5000
```

Computed properties:
- magnetic moment (μB per cell) = 0.0
- formation energy (no corrections) (eV per atom) = 0.597
- ρ (g/cm³) = 10.65

[17]
This record from the Alexandria database describes NdSb2Pd9 after structural relaxation. The functional is PBE-GGA.

CIF file:
```
data_NdSb2Pd9
_cell_length_a 4.1254
_cell_length_b 4.1254
_cell_length_c 12.1850
_cell_angle_alpha 90.00
_cell_angle_beta 90.00
_cell_angle_gamma 90.00
_space_group_name_H-M_alt 'P 4/m m m'
_space_group_IT_number 123
_space_group_name_Hall '-P 4 2'
loop_
_atom_site_label
_atom_site_fract_x
_atom_site_fract_y
_atom_site_fract_z
Nd1 0.0000 0.0000 0.0000
Sb1 0.0000 0.0000 0.3360
Pd1 0.0000 0.5000 0.1778
Pd2 0.0000 0.5000 0.5000
Pd3 0.5000 0.5000 0.0000
Pd4 0.5000 0.5000 0.3406
```

Computed properties:
- magnetic moment (μB per cell) = 0.0
- formation energy (no corrections) (eV per atom) = -0.501
- ρ (g/cm³) = 10.77

[18]
This record from the Alexandria database describes MgIr2Au after structural relaxation. The functional is PBE-GGA.

CIF file:
```
data_MgIr2Au
_cell_length_a 3.2377
_cell_length_b 3.2377
_cell_length_c 6.0277
_cell_angle_alpha 90.00
_cell_angle_beta 90.00
_cell_angle_gamma 90.00
_space_group_name_H-M_alt 'P 4/m m m'
_space_group_IT_number 123
_space_group_name_Hall '-P 4 2'
loop_
_atom_site_label
_atom_site_fract_x
_atom_site_fract_y
_atom_site_fract_z
Mg1 0.0000 0.0000 0.0000
Ir1 0.5000 0.5000 0.2332
Au1 0.0000 0.0000 0.5000
```

Computed properties:
- magnetic moment (μB per cell) = 0.0
- E_form (eV per atom) = 0.21
- ρ (g/cm³) = 15.92

[19]
This record from the Alexandria database describes LiTl2HgBr5 after structural relaxation. The functional is PBE-GGA.

CIF file:
```
data_LiTl2HgBr5
_cell_length_a 4.3884
_cell_length_b 19.1406
_cell_length_c 13.8901
_cell_angle_alpha 90.00
_cell_angle_beta 90.00
_cell_angle_gamma 90.00
_space_group_name_H-M_alt 'C m c 21'
_space_group_IT_number 36
_space_group_name_Hall 'C 2c -2'
loop_
_atom_site_label
_atom_site_fract_x
_atom_site_fract_y
_atom_site_fract_z
Li1 0.0000 0.0660 0.0000
Tl1 0.0000 0.3740 0.8801
Tl2 0.0000 0.3852 0.2602
Hg1 0.0000 0.2928 0.5889
Br1 0.0000 0.0011 0.3468
Br2 0.0000 0.1518 0.5741
Br3 0.0000 0.1934 0.9402
Br4 0.0000 0.2101 0.2287
Br5 0.0000 0.4373 0.5953
```

Computed properties:
- magnetic moment (μB per cell) = 0.0
- formation energy (no corrections) (eV per atom) = -0.861
- ρ (g/cm³) = 5.78

[20]
This record from the Alexandria database describes YScAlIn after structural relaxation. The functional is PBE-GGA.

CIF file:
```
data_YScAlIn
_cell_length_a 3.5439
_cell_length_b 3.5439
_cell_length_c 7.2996
_cell_angle_alpha 90.00
_cell_angle_beta 90.00
_cell_angle_gamma 90.00
_space_group_name_H-M_alt 'P 4 m m'
_space_group_IT_number 99
_space_group_name_Hall 'P 4 -2'
loop_
_atom_site_label
_atom_site_fract_x
_atom_site_fract_y
_atom_site_fract_z
Y1 0.0000 0.0000 0.0000
Sc1 0.0000 0.0000 0.4762
Al1 0.5000 0.5000 0.2574
In1 0.5000 0.5000 0.7176
```

Computed properties:
- energy relative to the lowest polymorph listed for this composition (meV/atom) = 0
- magnetic moment (μB per cell) = 0.0
- E_form (eV per atom) = -0.43
- ρ (g/cm³) = 4.99